1.
First-principles (PBE-GGA) data for crystalline Ac2In3Ge2 at its relaxed geometry, as listed in Alexandria via LeMat-Bulk. Values from VASP.

Summary:
ΔE_f: -0.49 eV/atom
uncorrected energy: -4.156 eV per atom
spin magnetization: 0.000 μB per atom
D(E_F): 6.67 states/eV per cell
crystal system: monoclinic
volume: 28.07 Å³ per atom

Cell and atoms, written as Quantum ESPRESSO input:
```
&SYSTEM
  ibrav = 0, nat = 14, ntyp = 3
/
ATOMIC_SPECIES
Ac 227.00 Ac.upf
In 114.82 In.upf
Ge 72.64 Ge.upf
ATOMIC_POSITIONS crystal
Ac 0.122 0.000 0.327
Ac 0.378 0.500 0.673
Ac 0.622 0.500 0.327
Ac 0.878 0.000 0.673
In 0.000 0.500 0.000
In 0.193 0.000 0.863
In 0.307 0.500 0.137
In 0.500 0.000 0.000
In 0.693 0.500 0.863
In 0.807 0.000 0.137
Ge 0.091 0.500 0.627
Ge 0.409 0.000 0.373
Ge 0.591 0.000 0.627
Ge 0.909 0.500 0.373
CELL_PARAMETERS angstrom
11.523 0.000 0.000
0.000 4.632 0.000
-1.391 0.000 7.364
```

=====

2.
First-principles (PBE-GGA) data for crystalline Ac12InGe6 at its relaxed geometry, as listed in Alexandria via LeMat-Bulk. Values from VASP.

Summary:
ΔE_f: -0.51 eV/atom
uncorrected energy: -4.705 eV per atom
spin magnetization: 0.000 μB per atom
D(E_F): 10.58 states/eV per cell
crystal system: cubic
volume: 35.78 Å³ per atom

Cell and atoms, written as Quantum ESPRESSO input:
```
&SYSTEM
  ibrav = 0, nat = 19, ntyp = 3
/
ATOMIC_SPECIES
Ac 227.00 Ac.upf
In 114.82 In.upf
Ge 72.64 Ge.upf
ATOMIC_POSITIONS crystal
Ac 0.110 0.812 0.298
Ac 0.188 0.298 0.485
Ac 0.188 0.702 0.890
Ac 0.298 0.110 0.812
Ac 0.298 0.485 0.188
Ac 0.485 0.188 0.298
Ac 0.515 0.812 0.702
Ac 0.702 0.515 0.812
Ac 0.702 0.890 0.188
Ac 0.812 0.298 0.110
Ac 0.812 0.702 0.515
Ac 0.890 0.188 0.702
In 0.000 0.000 0.000
Ge 0.115 0.615 0.500
Ge 0.385 0.500 0.885
Ge 0.500 0.115 0.615
Ge 0.500 0.885 0.385
Ge 0.615 0.500 0.115
Ge 0.885 0.385 0.500
CELL_PARAMETERS angstrom
-5.539 5.539 5.539
5.539 -5.539 5.539
5.539 5.539 -5.539
```

=====

Question: Which formula does entry 1 have?
Answer: Ac2In3Ge2